Entry 1:
Computed, not measured: a relaxed structure of AcZrRh at the PBE-GGA level of DFT. Values from VASP.

Total energy: -6.98 eV per atom
Calculated volume: 77.8 Å³/f.u.
Energy of formation from the pure elements: -0.31 eV/atom
DOS(E_F): 1.33 states/eV per atom
Space-group type: I4mm
Crystal system: tetragonal
Polymorph energy (0 for the lowest one): 0 meV/atom

Geometry as Quantum ESPRESSO input:
```
&SYSTEM
  ibrav = 0, nat = 3, ntyp = 3
/
ATOMIC_SPECIES
Ac 227.00 Ac.upf
Zr 91.22 Zr.upf
Rh 102.91 Rh.upf
CELL_PARAMETERS angstrom
-1.768 1.768 6.221
1.768 -1.768 6.221
1.768 1.768 -6.221
ATOMIC_POSITIONS angstrom
Ac 0.000 0.000 0.000
Zr 0.000 0.000 3.432
Rh 0.000 0.000 8.571
```

=====

Entry 2:
Computed, not measured: a relaxed structure of LiNb2IrN at the PBE-GGA level of DFT. Values from VASP.

Total energy: -8.41 eV per atom
Calculated volume: 68.0 Å³/f.u.
DOS(E_F): 0.73 states/eV per atom
Space-group type: P4/mmm
Raw formation energy: -2.81 eV per formula unit
Crystal system: tetragonal

Geometry as Quantum ESPRESSO input:
```
&SYSTEM
  ibrav = 0, nat = 5, ntyp = 4
/
ATOMIC_SPECIES
Li 6.94 Li.upf
Nb 92.91 Nb.upf
Ir 192.22 Ir.upf
N 14.01 N.upf
CELL_PARAMETERS angstrom
4.262 0.000 0.000
0.000 4.262 0.000
0.000 0.000 3.745
ATOMIC_POSITIONS angstrom
Li 0.000 0.000 0.000
Nb 0.000 2.131 1.872
Nb 2.131 0.000 1.872
Ir 2.131 2.131 0.000
N 0.000 0.000 1.872
```

=====

Entry 3:
Computed, not measured: a relaxed structure of NaPtI2N at the PBE-GGA level of DFT. Values from VASP.

Total energy: -2.15 eV per atom
Calculated volume: 127.5 Å³/f.u.
DOS(E_F): 2.19 states/eV per atom
Space-group type: P4/mmm
Raw formation energy: 8.06 eV per formula unit
Crystal system: tetragonal
Polymorph energy (0 for the lowest one): 1637 meV/atom

Geometry as Quantum ESPRESSO input:
```
&SYSTEM
  ibrav = 0, nat = 5, ntyp = 4
/
ATOMIC_SPECIES
Na 22.99 Na.upf
Pt 195.08 Pt.upf
I 126.90 I.upf
N 14.01 N.upf
CELL_PARAMETERS angstrom
5.552 0.000 0.000
0.000 5.552 0.000
0.000 0.000 4.137
ATOMIC_POSITIONS angstrom
Na 0.000 0.000 0.000
Pt 2.776 2.776 2.069
I 0.000 2.776 0.000
I 2.776 0.000 0.000
N 0.000 0.000 2.069
```

=====

Entry 4:
Computed, not measured: a relaxed structure of CsTi3Si2P6O25 at the PBE-GGA level of DFT. Values from VASP.

Total energy: -7.72 eV per atom
Calculated volume: 533.2 Å³/f.u.
DOS(E_F): 0.24 states/eV per atom
Space-group type: P-31c
Raw formation energy: -93.68 eV per formula unit
Crystal system: trigonal

Geometry as Quantum ESPRESSO input:
```
&SYSTEM
  ibrav = 0, nat = 74, ntyp = 5
/
ATOMIC_SPECIES
Cs 132.91 Cs.upf
Ti 47.87 Ti.upf
Si 28.09 Si.upf
P 30.97 P.upf
O 16.00 O.upf
CELL_PARAMETERS angstrom
8.388 0.000 0.000
-4.194 7.264 0.000
0.000 0.000 17.501
ATOMIC_POSITIONS angstrom
Cs 0.000 4.843 4.375
Cs 4.194 2.421 13.126
Ti 0.000 4.843 0.400
Ti 0.000 4.843 8.351
Ti 0.000 4.843 13.126
Ti 4.194 2.421 4.375
Ti 4.194 2.421 9.150
Ti 4.194 2.421 17.101
Si 0.000 0.000 1.602
Si 0.000 0.000 7.149
Si 0.000 0.000 10.353
Si 0.000 0.000 15.899
P -1.173 2.790 10.662
P -2.364 4.853 15.590
P 1.173 2.790 15.590
P -1.191 6.885 10.662
P 3.003 0.379 1.911
P 1.830 2.411 6.839
P 2.364 4.853 10.662
P 1.191 6.885 15.590
P 5.385 0.379 6.839
P 3.021 4.474 1.911
P 6.558 2.411 1.911
P 5.367 4.474 6.839
O 0.000 0.000 0.000
O 0.000 0.000 8.751
O -0.648 1.375 2.192
O -3.327 6.015 6.559
O -1.161 3.748 1.579
O -1.529 4.385 7.172
O -0.894 3.489 11.990
O -1.620 4.745 14.261
O 0.648 1.375 6.559
O -2.679 7.138 2.192
O 1.515 0.126 10.942
O 0.867 1.249 15.309
O -0.274 3.246 9.509
O -1.520 5.404 16.743
O 0.274 3.246 16.743
O -1.246 5.878 9.509
O 0.894 3.489 14.261
O -0.726 6.294 11.990
O 1.161 3.748 7.172
O -0.368 6.396 1.579
O 2.948 1.386 0.758
O 2.674 1.860 7.992
O 3.468 0.970 3.240
O 2.574 2.519 5.511
O 1.529 4.385 1.579
O 0.368 6.396 7.172
O 3.826 0.868 10.329
O 2.665 2.879 15.923
O 1.620 4.745 11.990
O 0.726 6.294 14.261
O 1.520 5.404 9.509
O 1.246 5.878 16.743
O 4.562 0.868 15.923
O 3.033 3.517 10.329
O 4.920 0.970 5.511
O 3.300 3.776 3.240
O 5.440 1.386 7.992
O 3.920 4.018 0.758
O 5.713 1.860 0.758
O 4.467 4.018 7.992
O 3.327 6.015 2.192
O 2.679 7.138 6.559
O 6.873 0.126 15.309
O 3.546 5.889 10.942
O 5.814 2.519 3.240
O 5.088 3.776 5.511
O 5.723 2.879 10.329
O 5.355 3.517 15.923
O 7.521 1.249 10.942
O 4.842 5.889 15.309
```

=====

Entry 5:
Computed, not measured: a relaxed structure of Nb3PtAu at the PBE-GGA level of DFT. Values from VASP.

Total energy: -6.90 eV per atom
Calculated volume: 115.9 Å³/f.u.
Energy of formation from the pure elements: 1.01 eV/atom
DOS(E_F): 1.29 states/eV per atom
Space-group type: Pm-3m
Crystal system: cubic
Polymorph energy (0 for the lowest one): 999 meV/atom

Geometry as Quantum ESPRESSO input:
```
&SYSTEM
  ibrav = 0, nat = 5, ntyp = 3
/
ATOMIC_SPECIES
Nb 92.91 Nb.upf
Pt 195.08 Pt.upf
Au 196.97 Au.upf
CELL_PARAMETERS angstrom
4.875 0.000 0.000
0.000 4.875 0.000
0.000 0.000 4.875
ATOMIC_POSITIONS angstrom
Nb 0.000 0.000 2.437
Nb 0.000 2.437 0.000
Nb 2.437 0.000 0.000
Pt 0.000 0.000 0.000
Au 2.437 2.437 2.437
```

=====

Entry 6:
Computed, not measured: a relaxed structure of Mg2Ir at the PBE-GGA level of DFT. Values from VASP.

Total energy: -4.35 eV per atom
Calculated volume: 49.4 Å³/f.u.
Energy of formation from the pure elements: -0.33 eV/atom
DOS(E_F): 0.26 states/eV per atom
Space-group type: Cmcm
Crystal system: orthorhombic

Geometry as Quantum ESPRESSO input:
```
&SYSTEM
  ibrav = 0, nat = 6, ntyp = 2
/
ATOMIC_SPECIES
Mg 24.30 Mg.upf
Ir 192.22 Ir.upf
CELL_PARAMETERS angstrom
1.569 -7.009 0.000
1.569 7.009 0.000
0.000 0.000 4.490
ATOMIC_POSITIONS angstrom
Mg 1.569 6.184 3.368
Mg 1.569 3.288 1.123
Mg 1.569 -3.288 3.368
Mg 1.569 -6.184 1.123
Ir 1.569 1.520 3.368
Ir 1.569 -1.520 1.123
```

=====

Entry 7:
Computed, not measured: a relaxed structure of PaAsIrO at the PBE-GGA level of DFT. Values from VASP.

Total energy: -8.73 eV per atom
Calculated volume: 63.7 Å³/f.u.
DOS(E_F): 0.69 states/eV per atom
Space-group type: P4/nmm
Raw formation energy: -6.96 eV per formula unit
Crystal system: tetragonal

Geometry as Quantum ESPRESSO input:
```
&SYSTEM
  ibrav = 0, nat = 8, ntyp = 4
/
ATOMIC_SPECIES
Pa 231.04 Pa.upf
As 74.92 As.upf
Ir 192.22 Ir.upf
O 16.00 O.upf
CELL_PARAMETERS angstrom
3.972 0.000 0.000
0.000 3.972 0.000
0.000 0.000 8.073
ATOMIC_POSITIONS angstrom
Pa 0.993 0.993 1.336
Pa 2.979 2.979 6.736
As 0.993 0.993 5.571
As 2.979 2.979 2.502
Ir 0.993 2.979 4.036
Ir 2.979 0.993 4.036
O 0.993 2.979 0.000
O 2.979 0.993 0.000
```

=====

Entry 8:
Computed, not measured: a relaxed structure of Rb3HfMn at the PBE-GGA level of DFT. Values from VASP.

Total energy: -2.25 eV per atom
Calculated volume: 280.6 Å³/f.u.
Energy of formation from the pure elements: 2.15 eV/atom
DOS(E_F): 5.46 states/eV per atom
Space-group type: Pm-3m
Crystal system: cubic

Geometry as Quantum ESPRESSO input:
```
&SYSTEM
  ibrav = 0, nat = 5, ntyp = 3
/
ATOMIC_SPECIES
Rb 85.47 Rb.upf
Hf 178.49 Hf.upf
Mn 54.94 Mn.upf
CELL_PARAMETERS angstrom
6.547 0.000 0.000
0.000 6.547 0.000
0.000 0.000 6.547
ATOMIC_POSITIONS angstrom
Rb 0.000 0.000 3.273
Rb 0.000 3.273 0.000
Rb 3.273 0.000 0.000
Hf 3.273 3.273 3.273
Mn 0.000 0.000 0.000
```

=====

Entry 9:
Computed, not measured: a relaxed structure of MgCuPb at the PBE-GGA level of DFT. Values from VASP.

Total energy: -2.90 eV per atom
Calculated volume: 71.1 Å³/f.u.
Energy of formation from the pure elements: 0.23 eV/atom
DOS(E_F): 0.62 states/eV per atom
Space-group type: F-43m
Crystal system: cubic

Geometry as Quantum ESPRESSO input:
```
&SYSTEM
  ibrav = 0, nat = 3, ntyp = 3
/
ATOMIC_SPECIES
Mg 24.30 Mg.upf
Cu 63.55 Cu.upf
Pb 207.20 Pb.upf
CELL_PARAMETERS angstrom
0.000 3.288 3.288
3.288 0.000 3.288
3.288 3.288 0.000
ATOMIC_POSITIONS angstrom
Mg 0.000 0.000 0.000
Cu 3.288 3.288 3.288
Pb 4.932 4.932 4.932
```

=====

Entry 10:
Computed, not measured: a relaxed structure of AsIrBr4 at the PBE-GGA level of DFT. Values from VASP.

Total energy: -1.75 eV per atom
Calculated volume: 151.4 Å³/f.u.
DOS(E_F): 1.93 states/eV per atom
Space-group type: F-43m
Raw formation energy: 9.70 eV per formula unit
Crystal system: cubic

Geometry as Quantum ESPRESSO input:
```
&SYSTEM
  ibrav = 0, nat = 6, ntyp = 3
/
ATOMIC_SPECIES
As 74.92 As.upf
Ir 192.22 Ir.upf
Br 79.90 Br.upf
CELL_PARAMETERS angstrom
0.000 4.230 4.230
4.230 0.000 4.230
4.230 4.230 0.000
ATOMIC_POSITIONS angstrom
As 0.000 0.000 0.000
Ir 2.115 2.115 2.115
Br 5.279 3.182 3.182
Br 3.182 5.279 3.182
Br 3.182 3.182 5.279
Br 5.279 5.279 5.279
```

=====

Entry 11:
Computed, not measured: a relaxed structure of CsAc2TlSe4 at the PBE-GGA level of DFT. Values from VASP.

Total energy: -4.66 eV per atom
Calculated volume: 308.9 Å³/f.u.
Space-group type: Cmcm
Raw formation energy: -11.93 eV per formula unit
Crystal system: orthorhombic

Geometry as Quantum ESPRESSO input:
```
&SYSTEM
  ibrav = 0, nat = 16, ntyp = 4
/
ATOMIC_SPECIES
Cs 132.91 Cs.upf
Ac 227.00 Ac.upf
Tl 204.38 Tl.upf
Se 78.96 Se.upf
CELL_PARAMETERS angstrom
2.308 -7.550 0.000
2.308 7.550 0.000
0.000 0.000 17.730
ATOMIC_POSITIONS angstrom
Cs 2.308 6.052 13.297
Cs 2.308 -6.052 4.432
Ac 2.308 2.001 9.959
Ac 2.308 2.001 16.635
Ac 2.308 -2.001 1.094
Ac 2.308 -2.001 7.770
Tl 2.308 4.465 4.432
Tl 2.308 -4.465 13.297
Se 0.000 0.000 0.000
Se 0.000 0.000 8.865
Se 2.308 3.561 1.525
Se 2.308 3.561 7.340
Se 2.308 1.198 13.297
Se 2.308 -1.198 4.432
Se 2.308 -3.561 10.390
Se 2.308 -3.561 16.205
```